No. 1
A plane-wave DFT calculation with PBE was carried out for an optimized crystal structure of Ba2LaPt2I2.

Values from the calculation:
The calculation puts the calculated total energy at -4.6079 eV per atom. The calculation puts the magnetization at 0.0 μB/f.u. The uncorrected formation energy comes out at -1186 meV/atom. Its density of states at the Fermi level is 3.7 states/eV per cell.

Cell: 9.8676 9.8676 9.8676 Å, 147.76 147.76 46.25°
Last column: nearest neighbours and their distance in Å.
Atoms (fractional coordinates):
Ba (0.1155, 0.1155, 0.0000)  4 Pt 3.45, 1 I 3.62
Ba (0.8845, 0.8845, 0.0000)  4 Pt 3.45, 1 I 3.62
La (0.5000, 0.5000, 0.0000)  4 Pt 2.74
Pt (0.0000, 0.5000, 0.5000)  2 La 2.74
Pt (0.5000, 0.0000, 0.5000)  2 La 2.74
I (0.3151, 0.3151, 0.0000)  1 La 3.36, 1 Ba 3.62
I (0.6849, 0.6849, 0.0000)  1 La 3.36, 1 Ba 3.62

---

No. 2
A plane-wave DFT calculation with PBE was carried out for an optimized crystal structure of RbBaLaI6.

Values from the calculation:
The calculation puts the calculated total energy at -3.5066 eV per atom. The calculation puts the magnetization at 0.0 μB/f.u. The uncorrected formation energy comes out at -1605 meV/atom. Its density of states at the Fermi level is 0.0 states/eV per cell.

Cell: 8.6972 8.6972 15.4950 Å, 90.00 90.00 120.00°
Last column: nearest neighbours and their distance in Å.
Atoms (fractional coordinates):
Rb (0.0000, 0.0000, 0.0000)  6 I 3.78
Rb (0.0000, 0.0000, 0.5000)  6 I 3.78
Ba (0.3333, 0.6667, 0.2500)  6 I 3.48
Ba (0.6667, 0.3333, 0.7500)  6 I 3.48
La (0.3333, 0.6667, 0.7500)  6 I 3.19
La (0.6667, 0.3333, 0.2500)  6 I 3.19
I (0.0253, 0.3786, 0.6305)  1 La 3.19, 1 Ba 3.48
I (0.0253, 0.6467, 0.8695)  1 La 3.19, 1 Ba 3.48
I (0.3533, 0.3786, 0.8695)  1 La 3.19, 1 Ba 3.48
I (0.3533, 0.9747, 0.6305)  1 La 3.19, 1 Ba 3.48
I (0.3786, 0.0253, 0.1305)  1 La 3.19, 1 Ba 3.48
I (0.3786, 0.3533, 0.3695)  1 La 3.19, 1 Ba 3.48
I (0.6214, 0.6467, 0.6305)  1 La 3.19, 1 Ba 3.48
I (0.6214, 0.9747, 0.8695)  1 La 3.19, 1 Ba 3.48
I (0.6467, 0.0253, 0.3695)  1 La 3.19, 1 Ba 3.48
I (0.6467, 0.6214, 0.1305)  1 La 3.19, 1 Ba 3.48
I (0.9747, 0.3533, 0.1305)  1 La 3.19, 1 Ba 3.48
I (0.9747, 0.6214, 0.3695)  1 La 3.19, 1 Ba 3.48

---

No. 3
A plane-wave DFT calculation with PBE was carried out for an optimized crystal structure of Rb2BaLaI6.

Values from the calculation:
The calculation puts the calculated total energy at -3.2220 eV per atom. The calculation puts the magnetization at 0.9 μB/f.u. The uncorrected formation energy comes out at -1413 meV/atom. Its density of states at the Fermi level is 8.8 states/eV per cell.

Cell: 9.2793 9.2793 9.2793 Å, 60.00 60.00 60.00°
Last column: nearest neighbours and their distance in Å.
Atoms (fractional coordinates):
Rb (0.2500, 0.2500, 0.2500)  12 I 4.64
Rb (0.7500, 0.7500, 0.7500)  12 I 4.64
Ba (0.0000, 0.0000, 0.0000)  6 I 3.38
La (0.5000, 0.5000, 0.5000)  6 I 3.18
I (0.2575, 0.2575, 0.7425)  1 La 3.18, 1 Ba 3.38
I (0.2575, 0.7425, 0.2575)  1 La 3.18, 1 Ba 3.38
I (0.2575, 0.7425, 0.7425)  1 La 3.18, 1 Ba 3.38
I (0.7425, 0.2575, 0.2575)  1 La 3.18, 1 Ba 3.38
I (0.7425, 0.2575, 0.7425)  1 La 3.18, 1 Ba 3.38
I (0.7425, 0.7425, 0.2575)  1 La 3.18, 1 Ba 3.38

---

No. 4
A plane-wave DFT calculation with PBE was carried out for an optimized crystal structure of Ba2LaRhI.

Values from the calculation:
The calculation puts the calculated total energy at -4.0713 eV per atom. The calculation puts the magnetization at 0.0 μB/f.u. The uncorrected formation energy comes out at -536 meV/atom. Its density of states at the Fermi level is 5.0 states/eV per cell.

Cell: 6.4711 6.4711 5.2275 Å, 90.00 90.00 90.00°
Last column: nearest neighbours and their distance in Å.
Atoms (fractional coordinates):
Ba (0.0000, 0.5000, 0.0000)  2 Rh 3.24
Ba (0.5000, 0.0000, 0.0000)  2 Rh 3.24
La (0.0000, 0.0000, 0.5000)  2 Rh 2.61
Rh (0.0000, 0.0000, 0.0000)  2 La 2.61
I (0.5000, 0.5000, 0.5000)  8 Ba 4.16, 4 La 4.58

---

No. 5
A plane-wave DFT calculation with PBE was carried out for an optimized crystal structure of Ba2LaS2I2.

Values from the calculation:
The calculation puts the calculated total energy at -4.6616 eV per atom. The calculation puts the magnetization at 0.0 μB/f.u. The uncorrected formation energy comes out at -1786 meV/atom. Its density of states at the Fermi level is 4.0 states/eV per cell.

Cell: 9.6116 9.6116 9.6116 Å, 146.56 146.56 48.01°
Last column: nearest neighbours and their distance in Å.
Atoms (fractional coordinates):
Ba (0.1088, 0.1088, 0.0000)  4 S 3.36, 1 I 3.56
Ba (0.8912, 0.8912, 0.0000)  4 S 3.36, 1 I 3.56
La (0.5000, 0.5000, 0.0000)  4 S 2.76
S (0.0000, 0.5000, 0.5000)  2 La 2.76
S (0.5000, 0.0000, 0.5000)  2 La 2.76
I (0.3116, 0.3116, 0.0000)  1 La 3.31, 1 Ba 3.56
I (0.6884, 0.6884, 0.0000)  1 La 3.31, 1 Ba 3.56

---

No. 6
A plane-wave DFT calculation with PBE was carried out for an optimized crystal structure of BaLaSbI2.

Values from the calculation:
The calculation puts the calculated total energy at -3.8602 eV per atom. The calculation puts the magnetization at 0.0 μB/f.u. The uncorrected formation energy comes out at -1046 meV/atom. Its density of states at the Fermi level is 0.8 states/eV per cell.

Cell: 6.1613 6.1613 6.3129 Å, 90.00 90.00 90.00°
Last column: nearest neighbours and their distance in Å.
Atoms (fractional coordinates):
Ba (0.0000, 0.0000, 0.0000)  4 Sb 4.36, 8 I 4.41
La (0.5000, 0.5000, 0.5000)  4 I 3.08, 2 Sb 3.16
Sb (0.5000, 0.5000, 0.0000)  2 La 3.16
I (0.0000, 0.5000, 0.5000)  2 La 3.08
I (0.5000, 0.0000, 0.5000)  2 La 3.08

---

No. 7
A plane-wave DFT calculation with PBE was carried out for an optimized crystal structure of BaLaSb2I.

Values from the calculation:
The calculation puts the calculated total energy at -4.0246 eV per atom. The calculation puts the magnetization at 0.0 μB/f.u. The uncorrected formation energy comes out at -696 meV/atom. Its density of states at the Fermi level is 2.2 states/eV per cell.

Cell: 6.0378 6.0378 6.2491 Å, 90.00 90.00 90.00°
Last column: nearest neighbours and their distance in Å.
Atoms (fractional coordinates):
Ba (0.0000, 0.0000, 0.0000)  4 I 4.27, 8 Sb 4.34
La (0.5000, 0.5000, 0.5000)  4 Sb 3.02, 2 I 3.12
Sb (0.0000, 0.5000, 0.5000)  2 La 3.02
Sb (0.5000, 0.0000, 0.5000)  2 La 3.02
I (0.5000, 0.5000, 0.0000)  2 La 3.12

---

No. 8
A plane-wave DFT calculation with PBE was carried out for an optimized crystal structure of Ba2LaSe2I2.

Values from the calculation:
The calculation puts the calculated total energy at -4.4073 eV per atom. The calculation puts the magnetization at 0.0 μB/f.u. The uncorrected formation energy comes out at -1716 meV/atom. Its density of states at the Fermi level is 4.2 states/eV per cell.

Cell: 9.6585 9.6585 9.6585 Å, 145.31 145.31 49.88°
Last column: nearest neighbours and their distance in Å.
Atoms (fractional coordinates):
Ba (0.1112, 0.1112, 0.0000)  4 Se 3.48, 1 I 3.50
Ba (0.8888, 0.8888, 0.0000)  4 Se 3.48, 1 I 3.50
La (0.5000, 0.5000, 0.0000)  4 Se 2.88
Se (0.0000, 0.5000, 0.5000)  2 La 2.88
Se (0.5000, 0.0000, 0.5000)  2 La 2.88
I (0.3110, 0.3110, 0.0000)  1 La 3.31, 1 Ba 3.50
I (0.6890, 0.6890, 0.0000)  1 La 3.31, 1 Ba 3.50

---

No. 9
A plane-wave DFT calculation with PBE was carried out for an optimized crystal structure of Ba2LaTcI.

Values from the calculation:
The calculation puts the calculated total energy at -3.3968 eV per atom. The calculation puts the magnetization at 1.5 μB/f.u. The uncorrected formation energy comes out at 741 meV/atom. Its density of states at the Fermi level is 7.0 states/eV per cell.

Cell: 6.4068 6.4068 6.0152 Å, 90.00 90.00 90.00°
Last column: nearest neighbours and their distance in Å.
Atoms (fractional coordinates):
Ba (0.0000, 0.5000, 0.0000)  2 I 3.20
Ba (0.5000, 0.0000, 0.0000)  2 I 3.20
La (0.0000, 0.0000, 0.5000)  2 I 3.01
Tc (0.5000, 0.5000, 0.5000)  8 Ba 4.39, 4 La 4.53
I (0.0000, 0.0000, 0.0000)  2 La 3.01, 4 Ba 3.20

---

No. 10
A plane-wave DFT calculation with PBE was carried out for an optimized crystal structure of BaLaTlI6.

Values from the calculation:
The calculation puts the calculated total energy at -3.4627 eV per atom. The calculation puts the magnetization at 0.0 μB/f.u. The uncorrected formation energy comes out at -1405 meV/atom. Its density of states at the Fermi level is 0.0 states/eV per cell.

Cell: 8.5939 8.5939 14.8416 Å, 90.00 90.00 120.00°
Last column: nearest neighbours and their distance in Å.
Atoms (fractional coordinates):
Ba (0.3333, 0.6667, 0.2500)  6 I 3.48
Ba (0.6667, 0.3333, 0.7500)  6 I 3.48
La (0.3333, 0.6667, 0.7500)  6 I 3.19
La (0.6667, 0.3333, 0.2500)  6 I 3.19
Tl (0.0000, 0.0000, 0.0000)  6 I 3.58
Tl (0.0000, 0.0000, 0.5000)  6 I 3.58
I (0.0260, 0.3675, 0.6265)  1 La 3.19, 1 Ba 3.48
I (0.0260, 0.6585, 0.8735)  1 La 3.19, 1 Ba 3.48
I (0.3415, 0.3675, 0.8735)  1 La 3.19, 1 Ba 3.48
I (0.3415, 0.9740, 0.6265)  1 La 3.19, 1 Ba 3.48
I (0.3675, 0.0260, 0.1265)  1 La 3.19, 1 Ba 3.48
I (0.3675, 0.3415, 0.3735)  1 La 3.19, 1 Ba 3.48
I (0.6325, 0.6585, 0.6265)  1 La 3.19, 1 Ba 3.48
I (0.6325, 0.9740, 0.8735)  1 La 3.19, 1 Ba 3.48
I (0.6585, 0.0260, 0.3735)  1 La 3.19, 1 Ba 3.48
I (0.6585, 0.6325, 0.1265)  1 La 3.19, 1 Ba 3.48
I (0.9740, 0.3415, 0.1265)  1 La 3.19, 1 Ba 3.48
I (0.9740, 0.6325, 0.3735)  1 La 3.19, 1 Ba 3.48

---

Look up the magnetization of the sixth one.
0.0 μB/f.u.

---

Copy entry 4 word for word.
A plane-wave DFT calculation with PBE was carried out for an optimized crystal structure of Ba2LaRhI.

Values from the calculation:
The calculation puts the calculated total energy at -4.0713 eV per atom. The calculation puts the magnetization at 0.0 μB/f.u. The uncorrected formation energy comes out at -536 meV/atom. Its density of states at the Fermi level is 5.0 states/eV per cell.

Cell: 6.4711 6.4711 5.2275 Å, 90.00 90.00 90.00°
Last column: nearest neighbours and their distance in Å.
Atoms (fractional coordinates):
Ba (0.0000, 0.5000, 0.0000)  2 Rh 3.24
Ba (0.5000, 0.0000, 0.0000)  2 Rh 3.24
La (0.0000, 0.0000, 0.5000)  2 Rh 2.61
Rh (0.0000, 0.0000, 0.0000)  2 La 2.61
I (0.5000, 0.5000, 0.5000)  8 Ba 4.16, 4 La 4.58

---

The lowest uncorrected formation energy belongs to which entry?
Ba2LaS2I2

---

Among the records above, which one has the lowest calculated total energy?
Ba2LaS2I2